# KHoTl2I6 (PBE-GGA, optimized geometry)
data_KHoTl2I6
_chemical_formula_sum 'K3 Ho3 Tl6 I18'
_space_group_name_H-M_alt 'R 3'
_space_group_IT_number 146
_space_group_name_Hall 'R 3'
_cell_length_a 8.6231
_cell_length_b 8.6231
_cell_length_c 22.4576
_cell_angle_alpha 90.00
_cell_angle_beta 90.00
_cell_angle_gamma 120.00
loop_
_atom_site_label
_atom_site_type_symbol
_atom_site_fract_x
_atom_site_fract_y
_atom_site_fract_z
K1 K 0.0000 0.0000 0.0000
Ho1 Ho 0.0000 0.0000 0.4923
Tl1 Tl 0.0000 0.0000 0.2942
Tl2 Tl 0.0000 0.0000 0.8041
I1 I 0.0233 0.3957 0.2336
I2 I 0.0603 0.6803 0.0760
# Spin magnetization (μB per cell): 0.0
# Total energy (Ry/atom): -0.2268
# Energy relative to the elements, uncorrected (meV per atom): -1115
# Density of states at the Fermi level (states/eV/f.u.): 0.00